# LiCu6OF11 GGA-PBE optimized geometry
data_LiCu6OF11
_chemical_formula_sum 'Li1 Cu6 O1 F11'
_cell_length_a 4.8451
_cell_length_b 5.4314
_cell_length_c 8.2681
_cell_angle_alpha 85.88
_cell_angle_beta 87.37
_cell_angle_gamma 88.85
_space_group_name_H-M_alt 'P 1'
_space_group_IT_number 1
_space_group_name_Hall 'P 1'
loop_
_atom_site_label
_atom_site_type_symbol
_atom_site_fract_x
_atom_site_fract_y
_atom_site_fract_z
_atom_site_occupancy
Li1 Li 0.0000 0.0000 0.0000 1
Cu1 Cu 0.0289 0.0099 0.5211 1
Cu2 Cu 0.0399 0.6017 0.8383 1
Cu3 Cu 0.0593 0.3666 0.1806 1
Cu4 Cu 0.4966 0.1552 0.8578 1
Cu5 Cu 0.5359 0.8485 0.2018 1
Cu6 Cu 0.5373 0.5038 0.5204 1
O1 O 0.1925 0.3273 0.9547 1
F1 F 0.2020 0.0315 0.2558 1
F2 F 0.2120 0.7025 0.6063 1
F3 F 0.3225 0.8401 0.9274 1
F4 F 0.3321 0.2013 0.5965 1
F5 F 0.3663 0.5447 0.2870 1
F6 F 0.7044 0.1492 0.1111 1
F7 F 0.7037 0.4433 0.7627 1
F8 F 0.7251 0.8162 0.4504 1
F9 F 0.8291 0.9484 0.7948 1
F10 F 0.8565 0.6753 0.1072 1
F11 F 0.8608 0.3173 0.4197 1
# * theoretical density: 4.70 g/cm³
# * spin magnetization: 4.062 μB per formula unit
# * raw formation energy: -1.516 eV/atom
# * E above lowest polymorph: 12 meV/atom